[1]
PmSm3Y6: relaxed, GGA-PBE.

```
PmSm3Y6
1.0
4.986 2.878 3.887
-4.986 2.878 3.887
0.000 -5.757 3.887
Pm Sm Y
1 3 6
Cartesian
0.000 0.000 0.000 Pm
0.000 0.000 2.912 Sm
0.000 0.000 5.829 Sm
0.000 0.000 8.731 Sm
-1.631 -2.925 3.906 Y
-3.264 -0.003 5.849 Y
-1.717 2.875 3.906 Y
1.634 -2.825 5.849 Y
3.348 0.050 3.906 Y
1.630 2.828 5.849 Y
```

Calculated values
* DOS at the Fermi energy: 2.133 states/eV per atom
* space-group type: R3 (146)
* calculated total energy: -5.51 eV per atom

[2]
PmSm3Y8: relaxed, GGA-PBE.

```
PmSm3Y8
1.0
-4.370 4.370 5.718
4.370 -4.370 5.718
4.370 4.370 -5.718
Pm Sm Y
1 3 8
Cartesian
0.000 0.000 0.000 Pm
4.370 0.000 2.859 Sm
0.000 0.000 5.718 Sm
0.000 4.370 2.859 Sm
1.100 -1.100 2.864 Y
2.189 2.189 -0.009 Y
2.181 -2.181 5.728 Y
-1.100 1.100 2.864 Y
3.269 3.269 2.855 Y
2.181 2.181 5.709 Y
-2.181 2.181 5.728 Y
1.100 1.100 8.573 Y
```

Calculated values
* DOS at the Fermi energy: 1.616 states/eV per atom
* space-group type: I-42m (121)
* calculated total energy: -5.25 eV per atom